Pr6Ni2HgI3: relaxed, PBE-GGA.

Cell and atoms, written as POSCAR:
```
Pr6Ni2HgI3
1.0
3.722 -6.398 0.000
3.722 6.398 0.000
-2.490 0.000 8.057
Pr Ni Hg I
6 2 1 3
direct
0.067 0.433 0.803
0.198 0.198 0.192
0.433 0.067 0.803
0.567 0.933 0.197
0.802 0.802 0.808
0.933 0.567 0.197
0.168 0.832 0.000
0.832 0.168 0.000
0.500 0.500 0.000
0.000 0.000 0.500
0.341 0.659 0.500
0.659 0.341 0.500
```

Computed properties:
Energy, eV per atom: -4.404
Magnetization, μB per atom: 0.0000
Formation energy from raw total energies, eV per atom: -0.638
SG: C2/m, No. 12
N(E_F), states/eV per atom: 1.10